Compound: BaNiF4
Source: the Alexandria database
Functional: PBE with a Hubbard U
Structure: optimized geometry

Cell and atoms, written as extended XYZ:
```
12
Lattice="-0.378 -7.408 -1.944 3.166 6.887 -1.160 4.183 -1.255 3.967" Properties=species:S:1:pos:R:3 pbc="T T T"
F 5.469 1.558 1.802
F 2.050 -0.889 -0.857
Ni 3.178 -2.121 0.362
F 4.042 -3.576 1.382
F 1.974 -3.475 -0.492
F 4.040 -7.520 2.043
F 4.341 -0.713 1.170
F 3.114 1.744 -0.344
Ni 5.881 -0.281 2.481
Ba 2.819 4.731 -1.110
F 4.933 5.143 0.719
Ba 2.409 -5.984 0.320
```

Output
**VASP energy**: -5.031 eV/atom
**Total magnetization**: 2.00 μB/f.u.